# 1
{"formula": "Tb2ScHg", "functional": "PBE", "state": "relaxed", "cell": [[3.7178, 0.0000, 0.0000], [0.0000, 5.3594, 0.0000], [0.0000, 0.0000, 5.3594]], "species": ["Sc", "Tb", "Tb", "Hg"], "frac_coords": [[0.5000, 0.0000, 0.0000], [0.0000, 0.0000, 0.5000], [0.0000, 0.5000, 0.0000], [0.5000, 0.5000, 0.5000]], "volume_a3_per_atom": 26.70, "e_above_lowest_polymorph_ev_per_fu": 0.206, "sg": "P4/mmm, No. 123", "e_tot_ev_per_cell": -16.5, "m_tot_mub_per_fu": 0.00}



# 2
{"formula": "ScTePb2", "functional": "PBE", "state": "relaxed", "cell": [[5.4318, 0.0000, 0.0000], [2.7159, 4.7041, 0.0000], [2.7159, 1.5680, 4.4350]], "species": ["Pb", "Pb", "Sc", "Te"], "frac_coords": [[0.0000, 0.0000, 0.0000], [0.2500, 0.2500, 0.2500], [0.5000, 0.5000, 0.5000], [0.7500, 0.7500, 0.7500]], "volume_a3_per_atom": 28.33, "sg": "F-43m, No. 216", "e_tot_ev_per_cell": -17.5, "m_tot_mub_per_fu": 0.00}



# 3
{"formula": "Na2Sm2RuO6", "functional": "PBE", "state": "relaxed", "cell": [[5.8698, -0.0284, 0.2036], [-2.9259, 5.0887, 0.2036], [-0.9083, -1.5613, 5.6055]], "species": ["Na", "Na", "Sm", "Sm", "Ru", "O", "O", "O", "O", "O", "O"], "frac_coords": [[0.8620, 0.1380, 0.0000], [0.1380, 0.8620, 0.0000], [0.3376, 0.6624, 0.5000], [0.6624, 0.3376, 0.5000], [0.0000, 0.0000, 0.5000], [0.7552, 0.7552, 0.7037], [0.0370, 0.3427, 0.6909], [0.2448, 0.2448, 0.2963], [0.3427, 0.0370, 0.6909], [0.9630, 0.6573, 0.3091], [0.6573, 0.9630, 0.3091]], "volume_a3_per_atom": 15.52, "sg": "C2/m, No. 12", "e_tot_ev_per_cell": -74.6, "m_tot_mub_per_fu": 2.00}



# 4
{"formula": "AgPd4Pb", "functional": "PBE", "state": "relaxed", "cell": [[5.3710, 0.0000, 0.0000], [2.6855, 4.6514, 0.0000], [2.6855, 1.5505, 4.3854]], "species": ["Pb", "Pd", "Pd", "Pd", "Pd", "Ag"], "frac_coords": [[0.2500, 0.2500, 0.2500], [0.6252, 0.6252, 0.1243], [0.6252, 0.1243, 0.6252], [0.6252, 0.6252, 0.6252], [0.1243, 0.6252, 0.6252], [0.0000, 0.0000, 0.0000]], "volume_a3_per_atom": 18.26, "e_above_lowest_polymorph_ev_per_fu": 0.704, "sg": "F-43m, No. 216", "e_tot_ev_per_cell": -27.5, "m_tot_mub_per_fu": 0.00}



# 5
{"formula": "Sm2Ho4Er2Tm", "functional": "PBE", "state": "relaxed", "cell": [[-1.8933, -1.1932, -2.7848], [-3.6260, -5.2145, 6.9911], [-3.8572, 8.5997, -1.0623]], "species": ["Sm", "Sm", "Ho", "Ho", "Ho", "Ho", "Er", "Er", "Tm"], "frac_coords": [[0.8520, 0.7040, 0.3342], [0.1480, 0.2960, 0.6658], [0.8154, 0.6308, 0.6676], [0.1846, 0.3692, 0.3324], [0.5185, 0.0369, 0.3303], [0.4815, 0.9631, 0.6697], [0.3338, 0.6677, 0.9987], [0.6662, 0.3323, 0.0013], [0.0000, 0.0000, 0.0000]], "volume_a3_per_atom": 31.44, "sg": "C2/m, No. 12", "e_tot_ev_per_cell": -41.3, "m_tot_mub_per_fu": 0.00}



# 6
{"formula": "Ta6OsRu5", "functional": "PBE", "state": "relaxed", "cell": [[-1.4676, -1.3130, -3.8811], [5.0164, -4.7582, -0.2874], [-5.6034, -1.2034, 4.9663]], "species": ["Ru", "Ru", "Ru", "Ru", "Ru", "Os", "Ta", "Ta", "Ta", "Ta", "Ta", "Ta"], "frac_coords": [[0.6666, 0.1960, 0.3330], [0.3343, 0.3634, 0.6686], [0.0000, 0.5000, 0.0000], [0.6657, 0.6366, 0.3314], [0.3334, 0.8040, 0.6670], [0.0000, 0.0000, 0.0000], [0.8402, 0.5897, 0.6805], [0.8209, 0.0711, 0.6417], [0.5204, 0.7712, 0.0409], [0.4796, 0.2288, 0.9591], [0.1791, 0.9289, 0.3583], [0.1598, 0.4103, 0.3195]], "volume_a3_per_atom": 16.06, "sg": "C2/m, No. 12", "e_tot_ev_per_cell": -133.0, "m_tot_mub_per_fu": 0.00}